Version w
Material: DyThPdPt
Method: DFT, PBE
State: relaxed

CIF file:
```
data_DyThPdPt
_chemical_formula_sum 'Dy4 Th4 Pd4 Pt4'
_cell_length_a 7.148
_cell_length_b 7.148
_cell_length_c 7.148
_cell_angle_alpha 90.00
_cell_angle_beta 90.00
_cell_angle_gamma 90.00
_symmetry_space_group_name_H-M 'F -4 3 m'
_symmetry_Int_Tables_number 216
_symmetry_space_group_name_Hall 'F -4 2 3'
loop_
_atom_site_label
_atom_site_type_symbol
_atom_site_fract_x
_atom_site_fract_y
_atom_site_fract_z
Dy1 Dy 0.000 0.000 0.000
Th1 Th 0.000 0.000 0.500
Pd1 Pd 0.250 0.250 0.750
Pt1 Pt 0.250 0.250 0.250
```

Values from the calculation:
Fermi-level density of states in states/eV/atom: 0.874



Version x
Material: DyThPdPt
Method: DFT, PBE
State: relaxed

CIF file:
```
data_DyThPdPt
_chemical_formula_sum 'Dy2 Th2 Pd2 Pt2'
_cell_length_a 4.492
_cell_length_b 3.815
_cell_length_c 10.994
_cell_angle_alpha 90.00
_cell_angle_beta 90.00
_cell_angle_gamma 90.00
_symmetry_space_group_name_H-M 'A m m 2'
_symmetry_Int_Tables_number 38
_symmetry_space_group_name_Hall 'A 2 -2'
loop_
_atom_site_label
_atom_site_type_symbol
_atom_site_fract_x
_atom_site_fract_y
_atom_site_fract_z
Dy1 Dy 0.000 0.000 0.000
Th1 Th 0.500 0.000 0.725
Pd1 Pd 0.500 0.000 0.452
Pt1 Pt 0.000 0.000 0.268
```

Values from the calculation:
Fermi-level density of states in states/eV/atom: 0.843



version x ends up most stable, edging out the next structure by 0.132 eV/atom.